[1]
Material: La3SnO
Method: DFT, GGA-PBE
State: optimized geometry

## Properties
total magnetic moment = 1.92 μB/f.u.
formation energy (no corrections) = -785 meV per atom
calculated density = 4.52 g/cm³

Unit cell a=4.9130 b=4.9130 c=8.3969 alpha=90.00 beta=90.00 gamma=90.00
Fractional positions:
1 La 0.0000 0.0000 0.0000
2 La 0.0000 0.5000 0.6112
3 La 0.5000 0.0000 0.6112
4 Sn 0.0000 0.0000 0.3623
5 O 0.5000 0.5000 0.6129

[2]
Material: Li2LaTi
Method: DFT, GGA-PBE
State: optimized geometry

## Properties
total magnetic moment = 1.61 μB/f.u.
final energy = -3.6239 eV/atom
calculated density = 3.34 g/cm³

Unit cell a=11.6675 b=11.6675 c=11.6675 alpha=159.23 beta=159.23 gamma=29.54
Fractional positions:
1 Li 0.0744 0.1250 0.4494
2 Li 0.3750 0.9256 0.0506
3 Li 0.6756 0.6250 0.5506
4 Li 0.8750 0.3244 0.9494
5 La 0.2500 0.7500 0.5000
6 La 0.5000 0.5000 0.0000
7 Ti 0.0000 0.0000 0.0000
8 Ti 0.7500 0.2500 0.5000

[3]
Material: KScW
Method: DFT, GGA-PBE
State: optimized geometry

## Properties
total magnetic moment = 0.03 μB/f.u.
final energy = -5.5257 eV/atom
calculated density = 6.65 g/cm³

Unit cell a=5.3577 b=5.3577 c=2.6894 alpha=90.00 beta=90.00 gamma=120.00
Fractional positions:
1 K 0.0000 0.0000 0.0000
2 Sc 0.6667 0.3333 0.0000
3 W 0.3333 0.6667 0.5000

[4]
Material: Ba2LaCu3O8
Method: DFT, GGA-PBE
State: optimized geometry

## Properties
total magnetic moment = 0.00 μB/f.u.
formation energy (no corrections) = -1640 meV per atom
calculated density = 6.54 g/cm³

Unit cell a=3.9744 b=3.9744 c=11.7764 alpha=90.00 beta=90.00 gamma=90.00
Fractional positions:
1 Ba 0.0000 0.0000 0.1664
2 Ba 0.0000 0.0000 0.8336
3 La 0.0000 0.0000 0.5000
4 Cu 0.5000 0.5000 0.0000
5 Cu 0.5000 0.5000 0.3372
6 Cu 0.5000 0.5000 0.6628
7 O 0.0000 0.5000 0.0000
8 O 0.0000 0.5000 0.3688
9 O 0.0000 0.5000 0.6312
10 O 0.5000 0.0000 0.0000
11 O 0.5000 0.0000 0.3688
12 O 0.5000 0.0000 0.6312
13 O 0.5000 0.5000 0.1674
14 O 0.5000 0.5000 0.8326

[5]
Material: KPm2P
Method: DFT, GGA-PBE
State: optimized geometry

## Properties
total magnetic moment = 0.00 μB/f.u.
final energy = -4.5877 eV/atom
calculated density = 3.80 g/cm³

Unit cell a=11.4795 b=11.4795 c=11.4795 alpha=20.16 beta=20.16 gamma=20.16
Fractional positions:
1 K 0.0000 0.0000 0.0000
2 Pm 0.1202 0.1202 0.1202
3 Pm 0.8798 0.8798 0.8798
4 P 0.5000 0.5000 0.5000

[6]
Material: SiC3
Method: DFT, GGA-PBE
State: optimized geometry

## Properties
total magnetic moment = 0.00 μB/f.u.
formation energy (no corrections) = 1944 meV per atom
calculated density = 3.48 g/cm³

Unit cell a=3.4138 b=3.4138 c=3.4138 alpha=109.47 beta=109.47 gamma=109.47
Fractional positions:
1 Si 0.0000 0.0000 0.0000
2 C 0.0000 0.5000 0.5000
3 C 0.5000 0.0000 0.5000
4 C 0.5000 0.5000 0.0000

[7]
Material: AcDy2US8
Method: DFT, GGA-PBE
State: optimized geometry

## Properties
total magnetic moment = 0.00 μB/f.u.
formation energy (no corrections) = -1527 meV per atom
calculated density = 5.47 g/cm³

Unit cell a=6.0099 b=6.1197 c=8.6457 alpha=90.02 beta=90.12 gamma=90.46
Fractional positions:
1 Ac 0.0000 0.0000 0.0000
2 Dy 0.4989 0.4996 0.7366
3 Dy 0.5011 0.5004 0.2634
4 U 0.0000 0.0000 0.5000
5 S 0.2378 0.4551 0.0000
6 S 0.2440 0.3496 0.4991
7 S 0.2502 0.8728 0.2813
8 S 0.2516 0.8746 0.7195
9 S 0.7484 0.1254 0.2805
10 S 0.7498 0.1272 0.7187
11 S 0.7560 0.6504 0.5009
12 S 0.7622 0.5449 0.0000

[8]
Material: LiDy5Ho4
Method: DFT, GGA-PBE
State: optimized geometry

## Properties
total magnetic moment = 0.00 μB/f.u.
final energy = -4.2829 eV/atom
calculated density = 8.17 g/cm³

Unit cell a=3.5487 b=3.5487 c=23.8593 alpha=90.00 beta=90.00 gamma=90.00
Fractional positions:
1 Li 0.0000 0.0000 0.0000
2 Dy 0.5000 0.5000 0.0845
3 Dy 0.5000 0.5000 0.2914
4 Dy 0.5000 0.5000 0.5000
5 Dy 0.5000 0.5000 0.7086
6 Dy 0.5000 0.5000 0.9155
7 Ho 0.0000 0.0000 0.1869
8 Ho 0.0000 0.0000 0.3957
9 Ho 0.0000 0.0000 0.6043
10 Ho 0.0000 0.0000 0.8131

[9]
Material: YCdAg2
Method: DFT, GGA-PBE
State: optimized geometry

## Properties
total magnetic moment = 0.00 μB/f.u.
final energy = -3.4746 eV/atom
calculated density = 8.04 g/cm³

Unit cell a=4.9576 b=4.9576 c=4.9576 alpha=60.00 beta=60.00 gamma=60.00
Fractional positions:
1 Y 0.0000 0.0000 0.0000
2 Cd 0.7500 0.7500 0.7500
3 Ag 0.2500 0.2500 0.2500
4 Ag 0.5000 0.5000 0.5000

[10]
Material: Tb4Y2Ho5
Method: DFT, GGA-PBE
State: optimized geometry

## Properties
total magnetic moment = 0.00 μB/f.u.
final energy = -4.7705 eV/atom
calculated density = 7.64 g/cm³

Unit cell a=8.8693 b=8.8693 c=6.6284 alpha=99.28 beta=99.28 gamma=43.89
Fractional positions:
1 Tb 0.0884 0.0884 0.4033
2 Tb 0.2549 0.2549 0.1857
3 Tb 0.7451 0.7451 0.8143
4 Tb 0.9116 0.9116 0.5967
5 Y 0.2994 0.2994 0.6977
6 Y 0.7006 0.7006 0.3023
7 Ho 0.1509 0.6731 0.0975
8 Ho 0.3269 0.8491 0.9025
9 Ho 0.5000 0.5000 0.5000
10 Ho 0.6731 0.1509 0.0975
11 Ho 0.8491 0.3269 0.9025

[11]
Material: PuFeTc
Method: DFT, GGA-PBE
State: optimized geometry

## Properties
total magnetic moment = 2.67 μB/f.u.
final energy = -11.0429 eV/atom
calculated density = 12.93 g/cm³

Unit cell a=5.2246 b=5.2246 c=5.2246 alpha=122.87 beta=114.39 gamma=92.53
Fractional positions:
1 Pu 0.3799 0.1299 0.2500
2 Pu 0.6201 0.8701 0.7500
3 Fe 0.0000 0.5000 0.5000
4 Fe 0.5000 0.5000 0.0000
5 Tc 0.0000 0.0000 0.5000
6 Tc 0.0000 0.5000 0.0000

[12]
Material: Tc2AgO6F2
Method: DFT, GGA-PBE
State: optimized geometry

## Properties
total magnetic moment = 1.09 μB/f.u.
formation energy (no corrections) = -1256 meV per atom
calculated density = 3.53 g/cm³

Unit cell a=6.4285 b=6.4285 c=5.7576 alpha=90.00 beta=90.00 gamma=120.00
Fractional positions:
1 Tc 0.3333 0.6667 0.1952
2 Tc 0.6667 0.3333 0.8048
3 Ag 0.0000 0.0000 0.5000
4 O 0.1856 0.3711 0.2895
5 O 0.1856 0.8144 0.2895
6 O 0.3711 0.1856 0.7105
7 O 0.6289 0.8144 0.2895
8 O 0.8144 0.1856 0.7105
9 O 0.8144 0.6289 0.7105
10 F 0.3333 0.6667 0.8687
11 F 0.6667 0.3333 0.1313